Here is crystalline YPCO2 at its relaxed geometry from the Alexandria database. Energies are from GGA-PBE.

The value obtained for the energy relative to the lowest polymorph listed for this composition is 0 meV/atom. The uncorrected formation energy is -182.1 meV/atom.

Cell and atoms, written as CIF:
```
data_YPCO2
_chemical_formula_sum 'Y1 P1 C1 O2'
_symmetry_space_group_name_H-M 'P 4/m m m'
_symmetry_Int_Tables_number 123
_symmetry_space_group_name_Hall '-P 4 2'
_cell_length_a 4.053
_cell_length_b 4.053
_cell_length_c 3.612
_cell_angle_alpha 90.00
_cell_angle_beta 90.00
_cell_angle_gamma 90.00
loop_
_atom_site_label
_atom_site_fract_x
_atom_site_fract_y
_atom_site_fract_z
Y1 0.000 0.000 0.000
P1 0.500 0.500 0.000
C1 0.500 0.500 0.500
O1 0.000 0.500 0.500
```